[1]
Material: Pm12Mg3Pb5
Method: DFT, GGA-PBE
State: relaxed

Calculated values
Its symmetry is Ia-3d. The total DFT energy (no corrections) is -3.79 eV/atom. The calculation puts the total magnetic moment at 0.04 μB per cell.

Geometry as POSCAR:
```
Pm12Mg3Pb5
1.0
16.0784 0.0000 0.0000
-5.3595 15.1589 0.0000
-5.3595 -7.5794 13.1280
Pm Pb Mg
48 20 12
Direct
0.2226 0.6673 0.0936
0.1673 0.0737 0.9448
0.7774 0.3327 0.9064
0.7774 0.4448 0.3710
0.6290 0.5737 0.9064
0.9448 0.5737 0.1673
0.8327 0.9064 0.2774
0.9263 0.8327 0.5552
0.9064 0.8327 0.7774
0.9448 0.3710 0.2774
0.1290 0.4064 0.0737
0.6290 0.0552 0.2226
0.5737 0.6290 0.4064
0.4448 0.6673 0.0737
0.9263 0.0936 0.8710
0.9064 0.0737 0.6290
0.4263 0.3710 0.5936
0.1673 0.0936 0.7226
0.2774 0.4064 0.8327
0.4263 0.0552 0.3327
0.8710 0.2774 0.4448
0.5936 0.8710 0.4263
0.8710 0.5936 0.9263
0.8327 0.9263 0.0552
0.7226 0.1290 0.0552
0.5552 0.2226 0.1290
0.2226 0.5552 0.6290
0.0552 0.6290 0.7226
0.5737 0.9448 0.6673
0.0936 0.1673 0.2226
0.6673 0.2226 0.5936
0.4448 0.7774 0.8710
0.0552 0.4263 0.8327
0.4064 0.1290 0.5737
0.1290 0.7226 0.5552
0.4064 0.2774 0.3327
0.3710 0.9448 0.7774
0.3327 0.7774 0.4064
0.0936 0.9263 0.3710
0.3710 0.4263 0.0936
0.0737 0.9064 0.1290
0.2774 0.8710 0.9448
0.5936 0.7226 0.6673
0.0737 0.1673 0.4448
0.6673 0.4448 0.5737
0.5552 0.3327 0.9263
0.3327 0.5552 0.4263
0.7226 0.5936 0.1673
0.3750 0.2500 0.1250
0.5000 0.5000 0.0000
0.7500 0.6250 0.3750
0.7500 0.1250 0.8750
0.0000 0.0000 0.5000
0.3750 0.1250 0.7500
0.6250 0.7500 0.8750
0.6250 0.8750 0.2500
0.8750 0.6250 0.7500
0.8750 0.2500 0.6250
0.0000 0.5000 0.5000
0.5000 0.0000 0.5000
0.2500 0.3750 0.6250
0.5000 0.5000 0.5000
0.0000 0.0000 0.0000
0.0000 0.5000 0.0000
0.1250 0.7500 0.3750
0.2500 0.8750 0.1250
0.5000 0.0000 0.0000
0.1250 0.3750 0.2500
0.8750 0.7500 0.1250
0.3750 0.7500 0.6250
0.1250 0.2500 0.8750
0.8750 0.1250 0.2500
0.1250 0.8750 0.7500
0.2500 0.6250 0.8750
0.2500 0.1250 0.3750
0.3750 0.6250 0.2500
0.7500 0.8750 0.6250
0.6250 0.3750 0.7500
0.6250 0.2500 0.3750
0.7500 0.3750 0.1250
```



[2]
Material: Pm2Mg2Pb
Method: DFT, GGA-PBE
State: relaxed

Calculated values
Its symmetry is I4/mmm. The total DFT energy (no corrections) is -3.28 eV/atom. For the polymorph energy (0 for the lowest one), the calculation gives 63 meV/atom. The calculation puts the total magnetic moment at 0.00 μB per cell.

Geometry as POSCAR:
```
Pm2Mg2Pb
1.0
-1.5979 -1.1273 -3.7315
-3.2425 -1.8540 1.9486
-2.0266 8.9124 0.5534
Pm Mg Pb
2 2 1
Direct
0.5886 0.5886 0.1772
0.4114 0.4114 0.8228
0.7500 0.2500 0.5000
0.2500 0.7500 0.5000
0.0000 0.0000 0.0000
```



[3]
Material: PmMg2Pb2
Method: DFT, GGA-PBE
State: relaxed

Calculated values
Its symmetry is P6_3/mmc. The total DFT energy (no corrections) is -3.05 eV/atom. For the polymorph energy (0 for the lowest one), the calculation gives 105 meV/atom. The calculation puts the total magnetic moment at 0.00 μB per cell.

Geometry as POSCAR:
```
PmMg2Pb2
1.0
-2.8687 2.3132 3.5966
-1.8800 -4.0327 -2.5921
4.8520 -8.0969 9.0777
Pb Mg Pm
4 4 2
Direct
0.3333 0.6667 0.8786
0.3333 0.6667 0.6214
0.6667 0.3333 0.1214
0.6667 0.3333 0.3786
0.3333 0.6667 0.2500
0.6667 0.3333 0.7500
0.0000 0.0000 0.0000
0.0000 0.0000 0.5000
0.0000 0.0000 0.7500
0.0000 0.0000 0.2500
```



[4]
Material: PmMgPb3
Method: DFT, GGA-PBE
State: relaxed

Calculated values
Its symmetry is Pbcm. The total DFT energy (no corrections) is -3.76 eV/atom. For the polymorph energy (0 for the lowest one), the calculation gives 0 meV/atom. The calculation puts the total magnetic moment at 0.00 μB per cell.

Geometry as POSCAR:
```
PmMgPb3
1.0
6.4608 0.0659 0.0000
-0.0689 6.5391 0.0000
0.0000 0.0000 13.5516
Mg Pb Pm
4 12 4
Direct
0.2500 0.5000 0.1163
0.2500 0.0000 0.1163
0.7500 0.5000 0.8837
0.7500 0.0000 0.8837
0.8138 0.2500 0.0756
0.2500 0.5000 0.4992
0.9954 0.7496 0.2725
0.0046 0.2504 0.7275
0.4954 0.7496 0.7275
0.6862 0.7500 0.0756
0.2500 0.0000 0.4990
0.7500 0.0000 0.5010
0.5046 0.2504 0.2725
0.1862 0.7500 0.9244
0.7500 0.5000 0.5008
0.3138 0.2500 0.9244
0.0001 0.2496 0.3083
0.5001 0.2496 0.6917
0.9999 0.7504 0.6917
0.4999 0.7504 0.3083
```



[5]
Material: PmMg2Pb2
Method: DFT, GGA-PBE
State: relaxed

Calculated values
Its symmetry is P2_1/m. The total DFT energy (no corrections) is -3.16 eV/atom. For the polymorph energy (0 for the lowest one), the calculation gives 0 meV/atom. The calculation puts the total magnetic moment at 0.00 μB per cell.

Geometry as POSCAR:
```
PmMg2Pb2
1.0
-3.3165 -1.1520 3.7640
0.5803 -2.9478 -4.7997
8.7376 -7.2184 5.4896
Pm Pb Mg
2 4 4
Direct
0.0269 0.9994 0.7500
0.9731 0.0006 0.2500
0.0000 0.0000 0.0000
0.0000 0.0000 0.5000
0.2491 0.6434 0.2500
0.7509 0.3566 0.7500
0.6794 0.3409 0.4121
0.6794 0.3409 0.0879
0.3206 0.6591 0.9121
0.3206 0.6591 0.5879
```



[6]
Material: Pm3MgPb2
Method: DFT, GGA-PBE
State: relaxed

Calculated values
Its symmetry is Ibam. The total DFT energy (no corrections) is -4.25 eV/atom. The calculation puts the total magnetic moment at 2.53 μB per cell.

Geometry as POSCAR:
```
Pm3MgPb2
1.0
6.5873 0.0000 0.0000
0.0000 6.4831 0.0000
-3.2937 -3.2415 8.5973
Pb Pm Mg
4 6 2
Direct
0.6124 0.8631 0.7262
0.1137 0.3631 0.7262
0.3876 0.1369 0.2738
0.8863 0.6369 0.2738
0.5000 0.7500 0.0000
0.9324 0.1744 0.3488
0.5000 0.2500 0.0000
0.5836 0.3256 0.6512
0.4164 0.6744 0.3488
0.0676 0.8256 0.6512
0.0000 0.7500 0.0000
0.0000 0.2500 0.0000
```



Here are the calculated energy relative to the elements numbers, same order: 4.6 0.0 0.1 -1.3 -0.4 -2.2 (eV per formula unit).